Entry 1:
Computed, not measured: a geometry-optimized PbWAu2 structure at the PBE-GGA level of DFT.

Calculated values
symmetry: No. 122

Cell: 6.1483 6.1483 6.1483 Å, 102.46 102.46 124.64°
Fractional positions:
Pb: 0.0000 0.0000 0.0000
Pb: 0.7500 0.2500 0.5000
W: 0.2500 0.7500 0.5000
W: 0.5000 0.5000 0.0000
Au: 0.1498 0.6250 0.0248
Au: 0.3750 0.3998 0.5248
Au: 0.6002 0.1250 0.9752
Au: 0.8750 0.8502 0.4752


Entry 2:
Computed, not measured: a geometry-optimized PbWAu2 structure at the PBE-GGA level of DFT.

Calculated values
symmetry: No. 166

Cell: 9.9969 9.9969 9.9969 Å, 17.63 17.63 17.63°
Fractional positions:
Pb: 0.0000 0.0000 0.0000
W: 0.5000 0.5000 0.5000
Au: 0.2412 0.2412 0.2412
Au: 0.7588 0.7588 0.7588


Entry 3:
Computed, not measured: a geometry-optimized Y2Pb2Au structure at the PBE-GGA level of DFT.

Calculated values
ΔE to the lowest computed polymorph: 18.9 meV per atom
symmetry: No. 127

Cell: 7.8457 7.8457 4.7054 Å, 90.00 90.00 90.00°
Fractional positions:
Y: 0.1667 0.3333 0.0000
Y: 0.3333 0.8333 0.0000
Y: 0.6667 0.1667 0.0000
Y: 0.8333 0.6667 0.0000
Pb: 0.1413 0.6413 0.5000
Pb: 0.3587 0.1413 0.5000
Pb: 0.6413 0.8587 0.5000
Pb: 0.8587 0.3587 0.5000
Au: 0.0000 0.0000 0.0000
Au: 0.5000 0.5000 0.0000


Entry 4:
Computed, not measured: a geometry-optimized YPb2Au structure at the PBE-GGA level of DFT.

Calculated values
ΔE to the lowest computed polymorph: 24.4 meV per atom
symmetry: No. 6

Cell: 3.6284 3.6566 8.2649 Å, 90.00 90.19 90.00°
Fractional positions:
Y: 0.0000 0.0000 0.0000
Pb: 0.4988 0.5000 0.2814
Pb: 0.9991 0.0000 0.5728
Au: 0.4995 0.5000 0.8160


Entry 5:
Computed, not measured: a geometry-optimized YPb2Au structure at the PBE-GGA level of DFT.

Calculated values
ΔE to the lowest computed polymorph: 235.8 meV per atom
symmetry: No. 225

Cell: 5.2869 5.2869 5.2869 Å, 60.00 60.00 60.00°
Fractional positions:
Y: 0.0000 0.0000 0.0000
Pb: 0.2500 0.2500 0.2500
Pb: 0.7500 0.7500 0.7500
Au: 0.5000 0.5000 0.5000


Entry 6:
Computed, not measured: a geometry-optimized YPb2Au structure at the PBE-GGA level of DFT.

Calculated values
ΔE to the lowest computed polymorph: 138.0 meV per atom
symmetry: No. 160

Cell: 9.4653 9.4653 9.4653 Å, 23.23 23.23 23.23°
Fractional positions:
Y: 0.0000 0.0000 0.0000
Pb: 0.5211 0.5211 0.5211
Pb: 0.7602 0.7602 0.7602
Au: 0.2651 0.2651 0.2651


Entry 7:
Computed, not measured: a geometry-optimized Y2Pb2Au structure at the PBE-GGA level of DFT.

Calculated values
ΔE to the lowest computed polymorph: 0.0 meV per atom
symmetry: No. 127

Cell: 7.6609 7.6609 4.5987 Å, 90.00 90.00 90.00°
Fractional positions:
Y: 0.1688 0.3312 0.0000
Y: 0.3312 0.8312 0.0000
Y: 0.6688 0.1688 0.0000
Y: 0.8312 0.6688 0.0000
Pb: 0.1410 0.6410 0.5000
Pb: 0.3590 0.1410 0.5000
Pb: 0.6410 0.8590 0.5000
Pb: 0.8590 0.3590 0.5000
Au: 0.0000 0.0000 0.5000
Au: 0.5000 0.5000 0.5000


Entry 8:
Computed, not measured: a geometry-optimized YPb2Au structure at the PBE-GGA level of DFT.

Calculated values
ΔE to the lowest computed polymorph: 136.4 meV per atom
symmetry: No. 12

Cell: 6.2972 6.2972 3.7250 Å, 105.90 105.90 118.94°
Fractional positions:
Y: 0.0000 0.0000 0.0000
Pb: 0.0000 0.5000 0.5000
Pb: 0.5000 0.0000 0.5000
Au: 0.5000 0.5000 0.0000


Entry 9:
Computed, not measured: a geometry-optimized YPbAu4 structure at the PBE-GGA level of DFT.

Calculated values
ΔE to the lowest computed polymorph: 0.0 meV per atom
symmetry: No. 191

Cell: 4.8396 4.8396 6.5131 Å, 90.00 90.00 120.00°
Fractional positions:
Y: 0.0000 0.0000 0.0000
Pb: 0.0000 0.0000 0.5000
Au: 0.3333 0.6667 0.2368
Au: 0.3333 0.6667 0.7632
Au: 0.6667 0.3333 0.2368
Au: 0.6667 0.3333 0.7632


Entry 10:
Computed, not measured: a geometry-optimized YPb2Au structure at the PBE-GGA level of DFT.

Calculated values
ΔE to the lowest computed polymorph: 92.8 meV per atom
symmetry: No. 139

Cell: 6.1213 6.1213 6.1213 Å, 136.95 136.95 62.51°
Fractional positions:
Y: 0.0000 0.0000 0.0000
Pb: 0.2500 0.7500 0.5000
Pb: 0.7500 0.2500 0.5000
Au: 0.5000 0.5000 0.0000


Entry 11:
Computed, not measured: a geometry-optimized YPb2Au structure at the PBE-GGA level of DFT.

Calculated values
ΔE to the lowest computed polymorph: 0.0 meV per atom
symmetry: No. 47

Cell: 4.5588 4.7238 4.7532 Å, 90.00 90.00 90.00°
Fractional positions:
Y: 0.0000 0.0000 0.0000
Pb: 0.5000 0.0000 0.5000
Pb: 0.5000 0.5000 0.0000
Au: 0.0000 0.5000 0.5000


Entry 12:
Computed, not measured: a geometry-optimized Y3Pb2Au structure at the PBE-GGA level of DFT.

Calculated values
symmetry: No. 62

Cell: 12.3975 4.5990 11.8426 Å, 90.00 90.00 90.00°
Fractional positions:
Y: 0.0491 0.2500 0.1276
Y: 0.1293 0.7500 0.5582
Y: 0.2256 0.2500 0.8023
Y: 0.2744 0.7500 0.3023
Y: 0.3707 0.2500 0.0582
Y: 0.4509 0.7500 0.6276
Y: 0.5491 0.2500 0.3724
Y: 0.6293 0.7500 0.9418
Y: 0.7256 0.2500 0.6977
Y: 0.7744 0.7500 0.1977
Y: 0.8707 0.2500 0.4418
Y: 0.9509 0.7500 0.8724
Pb: 0.0023 0.2500 0.6883
Pb: 0.1821 0.7500 0.0151
Pb: 0.3179 0.2500 0.5151
Pb: 0.4977 0.7500 0.1883
Pb: 0.5023 0.2500 0.8117
Pb: 0.6821 0.7500 0.4849
Pb: 0.8179 0.2500 0.9849
Pb: 0.9977 0.7500 0.3117
Au: 0.1350 0.2500 0.3616
Au: 0.3650 0.7500 0.8616
Au: 0.6350 0.2500 0.1384
Au: 0.8650 0.7500 0.6384


Entry 13:
Computed, not measured: a geometry-optimized YPb2Au structure at the PBE-GGA level of DFT.

Calculated values
ΔE to the lowest computed polymorph: 361.7 meV per atom
symmetry: No. 166

Cell: 9.5001 9.5001 9.5001 Å, 22.77 22.77 22.77°
Fractional positions:
Y: 0.0000 0.0000 0.0000
Pb: 0.2395 0.2395 0.2395
Pb: 0.7605 0.7605 0.7605
Au: 0.5000 0.5000 0.5000


Entry 14:
Computed, not measured: a geometry-optimized YPb2Au structure at the PBE-GGA level of DFT.

Calculated values
ΔE to the lowest computed polymorph: 157.2 meV per atom
symmetry: No. 122

Cell: 6.7051 6.7051 6.7051 Å, 102.74 102.74 123.98°
Fractional positions:
Y: 0.0000 0.0000 0.0000
Y: 0.7500 0.2500 0.5000
Pb: 0.1640 0.6250 0.0390
Pb: 0.3750 0.4140 0.5390
Pb: 0.5860 0.1250 0.9610
Pb: 0.8750 0.8360 0.4610
Au: 0.2500 0.7500 0.5000
Au: 0.5000 0.5000 0.0000


Entry 15:
Computed, not measured: a geometry-optimized Y2PbAu2 structure at the PBE-GGA level of DFT.

Calculated values
symmetry: No. 139

Cell: 6.5381 6.5381 6.5381 Å, 134.61 134.61 66.13°
Fractional positions:
Y: 0.2500 0.7500 0.5000
Y: 0.7500 0.2500 0.5000
Pb: 0.0000 0.0000 0.0000
Au: 0.3790 0.3790 0.0000
Au: 0.6210 0.6210 0.0000


Entry 16:
Computed, not measured: a geometry-optimized YPb2Au4 structure at the PBE-GGA level of DFT.

Calculated values
symmetry: No. 139

Cell: 8.2805 8.2805 8.2805 Å, 141.36 141.36 55.79°
Fractional positions:
Y: 0.0000 0.0000 0.0000
Pb: 0.3871 0.3871 0.0000
Pb: 0.6129 0.6129 0.0000
Au: 0.0000 0.5000 0.5000
Au: 0.1905 0.1905 0.0000
Au: 0.5000 0.0000 0.5000
Au: 0.8095 0.8095 0.0000


Entry 17:
Computed, not measured: a geometry-optimized YPbAu4 structure at the PBE-GGA level of DFT.

Calculated values
ΔE to the lowest computed polymorph: 52.7 meV per atom
symmetry: No. 216

Cell: 5.6796 5.6796 5.6796 Å, 60.00 60.00 60.00°
Fractional positions:
Y: 0.0000 0.0000 0.0000
Pb: 0.2500 0.2500 0.2500
Au: 0.1242 0.6252 0.6252
Au: 0.6252 0.1242 0.6252
Au: 0.6252 0.6252 0.1242
Au: 0.6252 0.6252 0.6252


Entry 18:
Computed, not measured: a geometry-optimized YPb2Au structure at the PBE-GGA level of DFT.

Calculated values
ΔE to the lowest computed polymorph: 232.2 meV per atom
symmetry: No. 123

Cell: 3.9124 3.9124 6.9024 Å, 90.00 90.00 90.00°
Fractional positions:
Y: 0.0000 0.0000 0.0000
Pb: 0.5000 0.5000 0.2753
Pb: 0.5000 0.5000 0.7247
Au: 0.0000 0.0000 0.5000


Entry 19:
Computed, not measured: a geometry-optimized YPb2Au structure at the PBE-GGA level of DFT.

Calculated values
ΔE to the lowest computed polymorph: 190.6 meV per atom
symmetry: No. 65

Cell: 3.8786 3.8786 7.3244 Å, 90.00 90.00 104.10°
Fractional positions:
Y: 0.0000 0.0000 0.0000
Pb: 0.5000 0.5000 0.2746
Pb: 0.5000 0.5000 0.7254
Au: 0.0000 0.0000 0.5000


Entry 20:
Computed, not measured: a geometry-optimized YPb2Au structure at the PBE-GGA level of DFT.

Calculated values
ΔE to the lowest computed polymorph: 118.1 meV per atom
symmetry: No. 216

Cell: 5.3409 5.3409 5.3409 Å, 60.00 60.00 60.00°
Fractional positions:
Y: 0.0000 0.0000 0.0000
Pb: 0.5000 0.5000 0.5000
Pb: 0.7500 0.7500 0.7500
Au: 0.2500 0.2500 0.2500


Number 1: VASP energy -40.49 eV/cell. Number 2: VASP energy -21.46 eV/cell. Number 3: VASP energy -51.42 eV/cell. Number 4: VASP energy -18.63 eV/cell. Number 5: VASP energy -17.79 eV/cell. Number 6: VASP energy -18.18 eV/cell. Number 7: VASP energy -51.61 eV/cell. Number 8: VASP energy -18.19 eV/cell. Number 9: VASP energy -25.89 eV/cell. Number 10: VASP energy -18.36 eV/cell. Number 11: VASP energy -18.73 eV/cell. Number 12: VASP energy -134.45 eV/cell. Number 13: VASP energy -17.29 eV/cell. Number 14: VASP energy -36.21 eV/cell. Number 15: VASP energy -25.69 eV/cell. Number 16: VASP energy -26.12 eV/cell. Number 17: VASP energy -25.58 eV/cell. Number 18: VASP energy -17.80 eV/cell. Number 19: VASP energy -17.97 eV/cell. Number 20: VASP energy -18.26 eV/cell.